(1)
! Tl2SiAgSe, optimized geometry, DFT PBE-GGA; values from VASP
! Raw formation energy in eV/atom: 0.406
&SYSTEM
  ibrav = 0, nat = 5, ntyp = 4
/
ATOMIC_SPECIES
Si 28.09 Si.upf
Tl 204.38 Tl.upf
Ag 107.87 Ag.upf
Se 78.96 Se.upf
CELL_PARAMETERS angstrom
5.532 0.000 0.000
0.000 4.757 0.000
0.000 0.000 5.532
ATOMIC_POSITIONS angstrom
Si 0.000 2.379 0.000
Tl 2.766 0.000 0.000
Ag 0.000 0.000 0.000
Tl 0.000 0.000 2.766
Se 2.766 2.379 2.766

=====

(2)
! LiTl2Si, optimized geometry, DFT PBE-GGA; values from VASP
! Raw formation energy in eV/atom: 0.168
&SYSTEM
  ibrav = 0, nat = 4, ntyp = 3
/
ATOMIC_SPECIES
Si 28.09 Si.upf
Tl 204.38 Tl.upf
Li 6.94 Li.upf
CELL_PARAMETERS angstrom
-4.241 0.350 -3.179
-3.384 -3.481 2.157
2.571 3.962 2.431
ATOMIC_POSITIONS angstrom
Si -2.741 1.373 -0.630
Tl -3.812 -1.565 -0.511
Tl 0.000 0.000 0.000
Li -2.313 -0.542 2.039

=====

(3)
! Tb2NdSm5Sc, optimized geometry, DFT PBE-GGA; values from VASP
! E in eV per cell: -84.994
&SYSTEM
  ibrav = 0, nat = 18, ntyp = 4
/
ATOMIC_SPECIES
Sm 150.36 Sm.upf
Nd 144.24 Nd.upf
Tb 158.93 Tb.upf
Sc 44.96 Sc.upf
CELL_PARAMETERS angstrom
5.638 0.000 0.000
-2.819 10.057 0.000
0.000 0.000 10.490
ATOMIC_POSITIONS angstrom
Sm 2.819 2.521 5.446
Sm 0.000 5.557 3.371
Nd 2.819 1.811 10.044
Tb 2.819 7.785 8.519
Sm 2.819 0.336 2.535
Sc 2.819 6.134 5.397
Sm 2.819 4.072 2.159
Tb 0.000 2.272 3.274
Sm 0.000 7.536 0.201
Sc 0.000 3.923 0.152
Sm 0.000 5.985 7.404
Tb 2.819 7.742 2.473
Sm 2.819 4.500 8.616
Sm 0.000 0.347 0.171
Nd 0.000 8.247 4.799
Tb 0.000 2.315 7.718
Sm 0.000 9.722 7.780
Sm 2.819 9.710 5.416